A relaxed structure of Ac2AlPdRh, computed with PBE.

abc: 4.298 4.298 14.423
angles: 90.00 90.00 90.00
Positions (direct):
Ac 0.250 0.250 0.102
Ac 0.250 0.250 0.689
Ac 0.750 0.750 0.311
Ac 0.750 0.750 0.898
Al 0.250 0.750 0.500
Al 0.750 0.250 0.500
Pd 0.250 0.250 0.399
Pd 0.750 0.750 0.601
Rh 0.250 0.250 0.889
Rh 0.750 0.750 0.111

Computed properties:
The calculation puts the energy at -5.613 eV/atom. For the formation energy from the elements, the calculation gives -3.562 eV per formula unit. The size of the total moment comes out at 0.00 μB per atom.


A relaxed structure of BeRuCl2, computed with PBE.

abc: 4.972 4.972 4.972
angles: 145.19 108.49 82.06
Positions (direct):
Be 0.000 0.000 0.000
Ru 0.500 0.500 0.000
Cl 0.206 0.706 0.500
Cl 0.794 0.294 0.500

Computed properties:
The calculation puts the energy at -3.793 eV/atom. The uncorrected formation energy is 0.3804 eV/atom. The size of the total moment comes out at 0.50 μB per atom.


A relaxed structure of TbDy2InS6, computed with PBE.

abc: 7.292 7.292 7.292
angles: 56.18 56.18 56.18
Positions (direct):
Tb 0.000 0.000 0.000
Dy 0.298 0.298 0.298
Dy 0.796 0.796 0.796
In 0.500 0.500 0.500
S 0.103 0.697 0.397
S 0.207 0.597 0.887
S 0.397 0.103 0.697
S 0.597 0.887 0.207
S 0.697 0.397 0.103
S 0.887 0.207 0.597

Computed properties:
The calculation puts the energy at -5.784 eV/atom. The uncorrected formation energy is -1.6499 eV/atom. The size of the total moment comes out at 0.00 μB per atom.


A relaxed structure of NpIn2, computed with PBE.

abc: 7.914 7.914 7.914
angles: 157.14 157.14 32.54
Positions (direct):
Np 0.000 0.000 0.000
In 0.334 0.334 0.000
In 0.666 0.666 0.000

Computed properties:
The calculation puts the energy at -5.971 eV/atom. For the formation energy from the elements, the calculation gives 0.504 eV per formula unit. The size of the total moment comes out at 1.60 μB per atom.


A relaxed structure of CrHgRu2, computed with PBE.

abc: 2.913 2.913 7.170
angles: 90.00 90.00 90.00
Positions (direct):
Cr 0.000 0.000 0.000
Hg 0.000 0.000 0.500
Ru 0.500 0.500 0.204
Ru 0.500 0.500 0.796

Computed properties:
The calculation puts the energy at -6.826 eV/atom. For the formation energy from the elements, the calculation gives 1.174 eV per formula unit. The size of the total moment comes out at 0.17 μB per atom.


A relaxed structure of Rb2ZnBr6N, computed with PBE.

abc: 7.705 7.705 7.705
angles: 122.51 122.51 85.71
Positions (direct):
Rb 0.250 0.750 0.500
Rb 0.750 0.250 0.500
Zn 0.000 0.000 0.000
Br 0.208 0.208 0.000
Br 0.277 0.277 0.554
Br 0.277 0.723 0.000
Br 0.723 0.277 0.000
Br 0.723 0.723 0.446
Br 0.792 0.792 0.000
N 0.500 0.500 0.000

Computed properties:
The calculation puts the energy at -2.647 eV/atom. The uncorrected formation energy is -0.4897 eV/atom. The size of the total moment comes out at 0.10 μB per atom.